(1)
Density functional theory data (PBE) for a relaxed YCdW crystal.

Mass density, g/cm³: 8.044
ΔE to the lowest computed polymorph, eV per formula unit: 2.04
Formation enthalpy at 0 K, eV/atom: 1.1121
Space-group type: No. 216
Crystal system: cubic
DOS(E_F), states/eV/cell: 1.1

Cell and atoms, written as POSCAR:
```
YCdW
1.0
-3.608 2.945 -1.266
-4.431 -0.709 1.778
-1.832 3.094 3.220
Y W Cd
1 1 1
direct
0.000 0.000 0.000
0.750 0.750 0.750
0.500 0.500 0.500
```

***

(2)
Density functional theory data (PBE) for a relaxed YCdW2 crystal.

Mass density, g/cm³: 12.156
Formation enthalpy at 0 K, eV/atom: 0.6781
Space-group type: No. 123
Crystal system: tetragonal
DOS(E_F), states/eV/cell: 2.0

Cell and atoms, written as POSCAR:
```
YCdW2
1.0
-1.970 1.219 1.628
0.923 -1.484 2.228
6.207 7.126 2.175
W Y Cd
2 1 1
direct
0.000 0.000 0.513
0.000 0.000 0.987
0.500 0.500 0.250
0.500 0.500 0.750
```

***

(3)
Density functional theory data (PBE) for a relaxed YCdW crystal.

Mass density, g/cm³: 7.753
ΔE to the lowest computed polymorph, eV per formula unit: 3.03
Formation enthalpy at 0 K, eV/atom: 1.4422
Space-group type: No. 216
Crystal system: cubic
DOS(E_F), states/eV/cell: 1.5

Cell and atoms, written as POSCAR:
```
YCdW
1.0
4.886 0.000 0.000
2.443 4.232 0.000
2.443 1.411 3.990
W Y Cd
1 1 1
direct
0.500 0.500 0.500
0.750 0.750 0.750
0.000 0.000 0.000
```

***

(4)
Density functional theory data (PBE) for a relaxed YCdW2 crystal.

Mass density, g/cm³: 12.103
Formation enthalpy at 0 K, eV/atom: 0.5751
Space-group type: No. 47
Crystal system: orthorhombic
DOS(E_F), states/eV/cell: 2.8

Cell and atoms, written as POSCAR:
```
YCdW2
1.0
-0.775 1.807 -2.923
-3.706 -2.574 -0.609
-2.617 3.144 2.637
Y W Cd
1 2 1
direct
0.500 0.000 0.500
0.500 0.500 0.000
0.000 0.000 0.000
0.000 0.500 0.500
```

***

- Which formula does entry 3 have?
  YCdW

***

- The highest formation enthalpy at 0 K belongs to which entry?
  number 3